Entry 1:
{"formula": "K3GaHg", "functional": "GGA-PBE", "state": "optimized geometry", "sg": "Pm-3m", "formation_enthalpy_0k_mev_per_atom": 140, "de_polymorph_mev_per_atom": 0, "n_ef_per_ev_fu": 3.37, "dft_energy_ha_per_atom": -0.04351, "lattice": [[6.573, 0.000, 0.000], [0.000, 6.573, 0.000], [0.000, 0.000, 6.573]], "species": ["K", "K", "K", "Ga", "Hg"], "frac_coords": [[0.000, 0.500, 0.000], [0.500, 0.000, 0.000], [0.000, 0.000, 0.500], [0.000, 0.000, 0.000], [0.500, 0.500, 0.500]]}



Entry 2:
{"formula": "KGa2Hg8", "functional": "GGA-PBE", "state": "optimized geometry", "sg": "C2/m", "formation_enthalpy_0k_mev_per_atom": -53, "n_ef_per_ev_fu": 3.76, "dft_energy_ha_per_atom": -0.03391, "lattice": [[-4.122, 0.670, 2.990], [1.007, -7.962, -1.112], [6.484, -0.687, 4.809]], "species": ["Hg", "Hg", "Hg", "Hg", "Hg", "Hg", "Hg", "Hg", "Ga", "Ga", "K"], "frac_coords": [[0.219, 0.362, 0.071], [0.831, 0.330, 0.330], [0.500, 0.357, 0.643], [0.219, 0.071, 0.362], [0.169, 0.670, 0.670], [0.781, 0.929, 0.638], [0.781, 0.638, 0.929], [0.500, 0.643, 0.357], [0.000, 0.725, 0.275], [0.000, 0.275, 0.725], [0.500, 0.000, 0.000]]}



Entry 3:
{"formula": "K2GaHg5", "functional": "GGA-PBE", "state": "optimized geometry", "sg": "I4mm", "formation_enthalpy_0k_mev_per_atom": -164, "n_ef_per_ev_fu": 2.00, "dft_energy_ha_per_atom": -0.03694, "lattice": [[-0.563, 4.398, -5.426], [-6.573, -2.174, -1.080], [1.678, 2.888, 6.689]], "species": ["Hg", "Hg", "Hg", "Hg", "Hg", "K", "K", "Ga"], "frac_coords": [[0.682, 0.682, 0.364], [0.283, 0.283, 0.055], [0.283, 0.772, 0.055], [0.772, 0.283, 0.055], [0.772, 0.772, 0.055], [0.781, 0.281, 0.562], [0.281, 0.781, 0.562], [0.923, 0.923, 0.846]]}



What did the first record say?
{"formula": "K3GaHg", "functional": "GGA-PBE", "state": "optimized geometry", "sg": "Pm-3m", "formation_enthalpy_0k_mev_per_atom": 140, "de_polymorph_mev_per_atom": 0, "n_ef_per_ev_fu": 3.37, "dft_energy_ha_per_atom": -0.04351, "lattice": [[6.573, 0.000, 0.000], [0.000, 6.573, 0.000], [0.000, 0.000, 6.573]], "species": ["K", "K", "K", "Ga", "Hg"], "frac_coords": [[0.000, 0.500, 0.000], [0.500, 0.000, 0.000], [0.000, 0.000, 0.500], [0.000, 0.000, 0.000], [0.500, 0.500, 0.500]]}